1.
A plane-wave DFT calculation with PBE was carried out for a relaxed CsHfCu2As crystal.

energy above the most stable polymorph in this dataset = 0.000 eV/atom
calculated total energy = -4.3784 eV per atom
theoretical density = 5.8 g/cm3
ΔH_f (0 K) = 0.351 eV per atom
DOS at the Fermi energy = 2.01 states/eV per cell

a = 5.363 Å, b = 5.363 Å, c = 5.139 Å
α = 90.00°, β = 90.00°, γ = 90.00°
Fractional coordinates of all 5 atoms:
Cs  0.000  0.000  0.000
Hf  0.500  0.500  0.500
Cu  0.000  0.500  0.500
Cu  0.500  0.000  0.500
As  0.500  0.500  0.000

2.
A plane-wave DFT calculation with PBE was carried out for a relaxed CsHfCu2As crystal.

energy above the most stable polymorph in this dataset = 0.239 eV/atom
calculated total energy = -4.1390 eV per atom
theoretical density = 6.8 g/cm3
ΔH_f (0 K) = 0.591 eV per atom
DOS at the Fermi energy = 1.64 states/eV per cell

a = 4.947 Å, b = 4.947 Å, c = 5.132 Å
α = 90.00°, β = 90.00°, γ = 90.00°
Fractional coordinates of all 5 atoms:
Cs  0.000  0.000  0.000
Hf  0.500  0.500  0.000
Cu  0.000  0.500  0.500
Cu  0.500  0.000  0.500
As  0.500  0.500  0.500

3.
A plane-wave DFT calculation with PBE was carried out for a relaxed CsCuHg2As crystal.

calculated total energy = -2.0392 eV per atom
theoretical density = 7.5 g/cm3
ΔH_f (0 K) = 0.001 eV per atom
DOS at the Fermi energy = 4.31 states/eV per cell

a = 5.557 Å, b = 5.557 Å, c = 4.812 Å
α = 90.00°, β = 90.00°, γ = 90.00°
Fractional coordinates of all 5 atoms:
Cs  0.000  0.000  0.000
Cu  0.500  0.500  0.500
Hg  0.000  0.500  0.500
Hg  0.500  0.000  0.500
As  0.500  0.500  0.000

4.
A plane-wave DFT calculation with PBE was carried out for a relaxed CsCu2AsI8 crystal.

calculated total energy = -2.5030 eV per atom
theoretical density = 4.6 g/cm3
formation energy (no corrections) = -0.3283 eV/atom
DOS at the Fermi energy = 4.12 states/eV per cell

a = 7.212 Å, b = 7.212 Å, c = 10.840 Å
α = 108.66°, β = 108.66°, γ = 68.33°
Fractional coordinates of all 12 atoms:
Cs  0.000  0.000  0.000
Cu  0.423  0.423  0.686
Cu  0.577  0.577  0.314
As  0.000  0.000  0.500
I  0.175  0.678  0.287
I  0.233  0.233  0.473
I  0.322  0.825  0.713
I  0.371  0.371  0.896
I  0.629  0.629  0.104
I  0.678  0.175  0.287
I  0.767  0.767  0.527
I  0.825  0.322  0.713

5.
A plane-wave DFT calculation with PBE was carried out for a relaxed CsCuAsI6 crystal.

calculated total energy = -2.5213 eV per atom
theoretical density = 4.4 g/cm3
formation energy (no corrections) = -0.4213 eV/atom
DOS at the Fermi energy = 3.61 states/eV per cell

a = 7.281 Å, b = 7.294 Å, c = 7.975 Å
α = 95.10°, β = 100.01°, γ = 107.63°
Fractional coordinates of all 9 atoms:
Cs  0.000  0.000  0.000
Cu  0.847  0.307  0.414
As  0.449  0.580  0.508
I  0.093  0.570  0.263
I  0.171  0.239  0.574
I  0.426  0.818  0.780
I  0.540  0.349  0.205
I  0.672  0.912  0.352
I  0.770  0.487  0.700

6.
A plane-wave DFT calculation with PBE was carried out for a relaxed CsInCuAs2 crystal.

calculated total energy = -1.7025 eV per atom
theoretical density = 3.6 g/cm3
ΔH_f (0 K) = 1.695 eV per atom
DOS at the Fermi energy = 5.02 states/eV per cell

a = 5.816 Å, b = 5.816 Å, c = 6.327 Å
α = 90.00°, β = 90.00°, γ = 90.00°
Fractional coordinates of all 5 atoms:
Cs  0.000  0.000  0.000
In  0.000  0.000  0.500
Cu  0.500  0.500  0.500
As  0.000  0.500  0.000
As  0.500  0.000  0.000

7.
A plane-wave DFT calculation with PBE was carried out for a relaxed Cs2K4CuAs2 crystal.

calculated total energy = -2.3739 eV per atom
theoretical density = 3.0 g/cm3
ΔH_f (0 K) = -0.208 eV per atom
DOS at the Fermi energy = 1.53 states/eV per cell

a = 8.566 Å, b = 8.566 Å, c = 5.747 Å
α = 104.57°, β = 104.57°, γ = 60.61°
Fractional coordinates of all 9 atoms:
Cs  0.146  0.146  0.202
Cs  0.854  0.854  0.798
K  0.160  0.583  0.317
K  0.417  0.840  0.683
K  0.583  0.160  0.317
K  0.840  0.417  0.683
Cu  0.500  0.500  0.000
As  0.335  0.335  0.795
As  0.665  0.665  0.205

8.
A plane-wave DFT calculation with PBE was carried out for a relaxed CsMnCuAs2 crystal.

calculated total energy = -4.8455 eV per atom
theoretical density = 5.3 g/cm3
ΔH_f (0 K) = -0.162 eV per atom
DOS at the Fermi energy = 4.54 states/eV per cell

a = 8.408 Å, b = 8.408 Å, c = 5.692 Å
α = 90.00°, β = 90.00°, γ = 141.48°
Fractional coordinates of all 10 atoms:
Cs  0.250  0.750  0.771
Cs  0.750  0.250  0.229
Mn  0.250  0.250  0.500
Mn  0.750  0.750  0.500
Cu  0.000  0.000  0.000
Cu  0.500  0.500  0.000
As  0.100  0.900  0.305
As  0.400  0.600  0.305
As  0.600  0.400  0.695
As  0.900  0.100  0.695

9.
A plane-wave DFT calculation with PBE was carried out for a relaxed Cs2NaCuAs crystal.

calculated total energy = -2.4089 eV per atom
theoretical density = 3.1 g/cm3
ΔH_f (0 K) = -0.055 eV per atom
DOS at the Fermi energy = 3.74 states/eV per cell

a = 7.112 Å, b = 7.112 Å, c = 4.475 Å
α = 90.00°, β = 90.00°, γ = 90.00°
Fractional coordinates of all 5 atoms:
Cs  0.000  0.500  0.000
Cs  0.500  0.000  0.000
Na  0.000  0.000  0.500
Cu  0.500  0.500  0.000
As  0.500  0.500  0.500

10.
A plane-wave DFT calculation with PBE was carried out for a relaxed Cs2CuAsO4 crystal.

calculated total energy = -5.0775 eV per atom
theoretical density = 4.4 g/cm3
formation energy (no corrections) = -1.2918 eV/atom

a = 12.290 Å, b = 10.920 Å, c = 6.807 Å
α = 84.39°, β = 62.16°, γ = 33.45°
Fractional coordinates of all 16 atoms:
Cs  0.048  0.048  0.702
Cs  0.298  0.298  0.952
Cs  0.702  0.702  0.048
Cs  0.952  0.952  0.298
Cu  0.125  0.125  0.125
Cu  0.875  0.875  0.875
As  0.375  0.375  0.375
As  0.625  0.625  0.625
O  0.051  0.610  0.538
O  0.300  0.538  0.610
O  0.390  0.949  0.700
O  0.462  0.700  0.949
O  0.538  0.300  0.051
O  0.610  0.051  0.300
O  0.700  0.462  0.390
O  0.949  0.390  0.462

11.
A plane-wave DFT calculation with PBE was carried out for a relaxed CsCuAsO4 crystal.

calculated total energy = -5.3686 eV per atom
theoretical density = 4.4 g/cm3
formation energy (no corrections) = -1.1640 eV/atom
DOS at the Fermi energy = 2.58 states/eV per cell

a = 5.426 Å, b = 5.795 Å, c = 8.209 Å
α = 90.00°, β = 99.67°, γ = 90.00°
Fractional coordinates of all 14 atoms:
Cs  0.229  0.250  0.134
Cs  0.771  0.750  0.866
Cu  0.107  0.750  0.492
Cu  0.893  0.250  0.508
As  0.363  0.250  0.668
As  0.637  0.750  0.332
O  0.130  0.028  0.654
O  0.130  0.472  0.654
O  0.450  0.750  0.146
O  0.494  0.750  0.500
O  0.506  0.250  0.500
O  0.550  0.250  0.854
O  0.870  0.528  0.346
O  0.870  0.972  0.346

12.
A plane-wave DFT calculation with PBE was carried out for a relaxed CsCu4AsP crystal.

calculated total energy = -3.9753 eV per atom
theoretical density = 5.5 g/cm3
ΔH_f (0 K) = -0.076 eV per atom
DOS at the Fermi energy = 5.22 states/eV per cell

a = 6.537 Å, b = 6.537 Å, c = 8.122 Å
α = 102.92°, β = 102.92°, γ = 63.71°
Fractional coordinates of all 14 atoms:
Cs  0.003  0.003  0.282
Cs  0.997  0.997  0.718
Cu  0.125  0.498  0.899
Cu  0.394  0.394  0.397
Cu  0.475  0.475  0.141
Cu  0.498  0.125  0.899
Cu  0.502  0.875  0.101
Cu  0.525  0.525  0.859
Cu  0.606  0.606  0.603
Cu  0.875  0.502  0.101
As  0.332  0.332  0.653
As  0.668  0.668  0.347
P  0.264  0.264  0.127
P  0.736  0.736  0.873

13.
A plane-wave DFT calculation with PBE was carried out for a relaxed Cs4Rb2CuAs2 crystal.

calculated total energy = -2.2545 eV per atom
theoretical density = 3.1 g/cm3
ΔH_f (0 K) = -0.172 eV per atom
DOS at the Fermi energy = 4.77 states/eV per cell

a = 9.668 Å, b = 9.668 Å, c = 5.290 Å
α = 96.24°, β = 96.24°, γ = 82.86°
Fractional coordinates of all 9 atoms:
Cs  0.068  0.693  0.788
Cs  0.307  0.932  0.212
Cs  0.693  0.068  0.788
Cs  0.932  0.307  0.212
Rb  0.334  0.334  0.241
Rb  0.666  0.666  0.759
Cu  0.000  0.000  0.500
As  0.159  0.159  0.706
As  0.841  0.841  0.294

14.
A plane-wave DFT calculation with PBE was carried out for a relaxed CsCuAsS2 crystal.

calculated total energy = -4.0265 eV per atom
theoretical density = 4.0 g/cm3
formation energy (no corrections) = -0.4557 eV/atom
DOS at the Fermi energy = 2.13 states/eV per cell

a = 8.026 Å, b = 4.184 Å, c = 8.921 Å
α = 90.00°, β = 113.21°, γ = 90.00°
Fractional coordinates of all 10 atoms:
Cs  0.000  0.181  0.250
Cs  0.000  0.819  0.750
Cu  0.500  0.000  0.000
Cu  0.500  0.000  0.500
As  0.500  0.350  0.750
As  0.500  0.650  0.250
S  0.305  0.302  0.059
S  0.305  0.698  0.559
S  0.695  0.302  0.441
S  0.695  0.698  0.941

15.
A plane-wave DFT calculation with PBE was carried out for a relaxed CsCu2AsSe4 crystal.

calculated total energy = -3.7858 eV per atom
theoretical density = 4.2 g/cm3
formation energy (no corrections) = -0.3316 eV/atom

a = 7.134 Å, b = 7.134 Å, c = 7.134 Å
α = 126.68°, β = 105.22°, γ = 98.05°
Fractional coordinates of all 8 atoms:
Cs  0.000  0.000  0.000
Cu  0.360  0.860  0.500
Cu  0.640  0.140  0.500
As  0.500  0.500  0.000
Se  0.192  0.136  0.628
Se  0.491  0.864  0.056
Se  0.509  0.565  0.372
Se  0.808  0.435  0.944

16.
A plane-wave DFT calculation with PBE was carried out for a relaxed Cs2CuAsSe4 crystal.

calculated total energy = -3.6289 eV per atom
theoretical density = 4.1 g/cm3
formation energy (no corrections) = -0.5800 eV/atom

a = 14.699 Å, b = 13.290 Å, c = 7.724 Å
α = 84.34°, β = 64.13°, γ = 31.53°
Fractional coordinates of all 16 atoms:
Cs  0.054  0.054  0.696
Cs  0.304  0.304  0.946
Cs  0.696  0.696  0.054
Cs  0.946  0.946  0.304
Cu  0.125  0.125  0.125
Cu  0.875  0.875  0.875
As  0.375  0.375  0.375
As  0.625  0.625  0.625
Se  0.002  0.348  0.436
Se  0.285  0.564  0.652
Se  0.348  0.002  0.715
Se  0.436  0.715  0.002
Se  0.564  0.285  0.998
Se  0.652  0.998  0.285
Se  0.715  0.436  0.348
Se  0.998  0.652  0.564

17.
A plane-wave DFT calculation with PBE was carried out for a relaxed CsCu2As2Se6 crystal.

calculated total energy = -3.8318 eV per atom
theoretical density = 4.4 g/cm3
formation energy (no corrections) = -0.2634 eV/atom
DOS at the Fermi energy = 4.19 states/eV per cell

a = 6.713 Å, b = 7.700 Å, c = 7.824 Å
α = 106.00°, β = 109.62°, γ = 105.96°
Fractional coordinates of all 11 atoms:
Cs  0.000  0.000  0.000
Cu  0.347  0.570  0.441
Cu  0.653  0.430  0.559
As  0.341  0.579  0.842
As  0.659  0.421  0.158
Se  0.057  0.592  0.184
Se  0.288  0.302  0.567
Se  0.319  0.815  0.703
Se  0.681  0.185  0.297
Se  0.712  0.698  0.433
Se  0.943  0.408  0.816

18.
A plane-wave DFT calculation with PBE was carried out for a relaxed CsCuSn2As crystal.

calculated total energy = -1.8494 eV per atom
theoretical density = 4.3 g/cm3
ΔH_f (0 K) = 1.672 eV per atom
DOS at the Fermi energy = 4.50 states/eV per cell

a = 6.226 Å, b = 6.226 Å, c = 5.125 Å
α = 90.00°, β = 90.00°, γ = 90.00°
Fractional coordinates of all 5 atoms:
Cs  0.000  0.000  0.000
Cu  0.000  0.000  0.500
Sn  0.000  0.500  0.000
Sn  0.500  0.000  0.000
As  0.500  0.500  0.500

19.
A plane-wave DFT calculation with PBE was carried out for a relaxed CsTa2CuAs crystal.

calculated total energy = -3.6643 eV per atom
theoretical density = 8.3 g/cm3
ΔH_f (0 K) = 2.997 eV per atom
DOS at the Fermi energy = 5.03 states/eV per cell

a = 5.151 Å, b = 5.151 Å, c = 4.770 Å
α = 90.00°, β = 90.00°, γ = 90.00°
Fractional coordinates of all 5 atoms:
Cs  0.000  0.000  0.000
Ta  0.000  0.500  0.000
Ta  0.500  0.000  0.000
Cu  0.000  0.000  0.500
As  0.500  0.500  0.500

20.
A plane-wave DFT calculation with PBE was carried out for a relaxed CsCu2Te6As2 crystal.

calculated total energy = -3.4803 eV per atom
theoretical density = 5.0 g/cm3
formation energy (no corrections) = -0.0990 eV/atom
DOS at the Fermi energy = 1.57 states/eV per cell

a = 7.624 Å, b = 7.932 Å, c = 8.209 Å
α = 118.14°, β = 93.21°, γ = 111.05°
Fractional coordinates of all 11 atoms:
Cs  0.000  0.000  0.000
Cu  0.366  0.957  0.361
Cu  0.634  0.043  0.639
Te  0.059  0.825  0.465
Te  0.444  0.646  0.377
Te  0.471  0.840  0.051
Te  0.529  0.160  0.949
Te  0.556  0.354  0.623
Te  0.941  0.175  0.535
As  0.285  0.519  0.662
As  0.715  0.481  0.338